(1)
A plane-wave DFT calculation with PBE was carried out for Mn2ZnH after structural relaxation.

Cell lengths 5.7308, 5.7308, 5.7308 Å; angles 90.00, 90.00, 90.00 degrees
Space group Fm-3m (No. 225)
Inequivalent atoms, fractional coordinates:
Mn  0.2500  0.2500  0.2500 [8 per cell]
Zn  0.0000  0.0000  0.0000 [4 per cell]
H  0.0000  0.0000  0.5000 [4 per cell]

Calculated values
Total magnetic moment ... 1.561 μB per atom


(2)
A plane-wave DFT calculation with PBE was carried out for MnZnH after structural relaxation.

Cell lengths 3.8891, 3.9849, 4.4450 Å; angles 114.99, 115.85, 90.03 degrees
Space group P-1 (No. 2)
Inequivalent atoms, fractional coordinates:
Mn  0.1602  0.4249  0.3216 [2 per cell]
Zn  0.3945  0.1422  0.7884 [2 per cell]
H  0.0804  0.7679  0.1600 [2 per cell]

Calculated values
Total magnetic moment ... 0.000 μB per atom


(3)
A plane-wave DFT calculation with PBE was carried out for MnZn2H2 after structural relaxation.

Cell lengths 2.8096, 2.8096, 12.8912 Å; angles 90.00, 90.00, 90.00 degrees
Space group I4/mmm (No. 139)
Inequivalent atoms, fractional coordinates:
Mn  0.0000  0.0000  0.0000 [2 per cell]
Zn  0.0000  0.0000  0.3572 [4 per cell]
H  0.0000  0.5000  0.2500 [4 per cell]

Calculated values
Total magnetic moment ... 0.682 μB per atom


(4)
A plane-wave DFT calculation with PBE was carried out for MnZn3H after structural relaxation.

Cell lengths 4.8778, 4.8778, 4.8778 Å; angles 90.00, 90.00, 90.00 degrees
Space group Pm-3m (No. 221)
Inequivalent atoms, fractional coordinates:
Mn  0.0000  0.0000  0.0000 [1 per cell]
Zn  0.0000  0.0000  0.5000 [3 per cell]
H  0.5000  0.5000  0.5000 [1 per cell]

Calculated values
Total magnetic moment ... 0.854 μB per atom


(5)
A plane-wave DFT calculation with PBE was carried out for MnZn2H2 after structural relaxation.

Cell lengths 5.2211, 5.2211, 3.7799 Å; angles 90.00, 90.00, 90.00 degrees
Space group P4/mbm (No. 127)
Inequivalent atoms, fractional coordinates:
Mn  0.0000  0.0000  0.0000 [2 per cell]
Zn  0.2284  0.2716  0.5000 [4 per cell]
H  0.2248  0.2752  0.0000 [4 per cell]

Calculated values
Total magnetic moment ... 0.487 μB per atom


(6)
A plane-wave DFT calculation with PBE was carried out for Mn3Zn5H12 after structural relaxation.

Cell lengths 10.4708, 10.4708, 10.4708 Å; angles 90.00, 90.00, 90.00 degrees
Space group Ia-3d (No. 230)
Inequivalent atoms, fractional coordinates:
Mn  0.0000  0.2500  0.1250 [24 per cell]
Zn  0.0000  0.0000  0.0000 [16 per cell]
Zn  0.0000  0.2500  0.3750 [24 per cell]
H  0.0064  0.0818  0.6603 [96 per cell]

Calculated values
Total magnetic moment ... 0.049 μB per atom


(7)
A plane-wave DFT calculation with PBE was carried out for MnZnH after structural relaxation.

Cell lengths 2.5808, 2.5808, 9.3505 Å; angles 90.00, 90.00, 90.00 degrees
Space group I4mm (No. 107)
Inequivalent atoms, fractional coordinates:
Mn  0.0000  0.0000  0.0000 [2 per cell]
Zn  0.0000  0.0000  0.2837 [2 per cell]
H  0.0000  0.0000  0.5401 [2 per cell]

Calculated values
Total magnetic moment ... 0.846 μB per atom


(8)
A plane-wave DFT calculation with PBE was carried out for MnZn3H after structural relaxation.

Cell lengths 3.9114, 3.9114, 3.9114 Å; angles 90.00, 90.00, 90.00 degrees
Space group Pm-3m (No. 221)
Inequivalent atoms, fractional coordinates:
Mn  0.0000  0.0000  0.0000 [1 per cell]
Zn  0.0000  0.5000  0.5000 [3 per cell]
H  0.5000  0.5000  0.5000 [1 per cell]

Calculated values
Total magnetic moment ... 0.593 μB per atom


(9)
A plane-wave DFT calculation with PBE was carried out for Mn2ZnH after structural relaxation.

Cell lengths 5.1917, 5.1917, 7.3202 Å; angles 90.00, 90.00, 90.00 degrees
Space group I4_1/amd (No. 141, origin choice 2)
Inequivalent atoms, fractional coordinates:
Mn  0.0000  0.0000  0.0000 [8 per cell]
Zn  0.0000  0.2500  0.3750 [4 per cell]
H  0.0000  0.2500  0.8750 [4 per cell]

Calculated values
Total magnetic moment ... 1.414 μB per atom


(10)
A plane-wave DFT calculation with PBE was carried out for Mn2ZnH after structural relaxation.

Cell lengths 4.4853, 4.4853, 8.2633 Å; angles 90.00, 90.00, 120.00 degrees
Space group R-3m (No. 166, hexagonal axes)
Inequivalent atoms, fractional coordinates:
Mn  0.0000  0.0000  0.1993 [6 per cell]
Zn  0.0000  0.0000  0.5000 [3 per cell]
H  0.0000  0.0000  0.0000 [3 per cell]

Calculated values
Total magnetic moment ... 1.505 μB per atom


(11)
A plane-wave DFT calculation with PBE was carried out for Mn3ZnH3 after structural relaxation.

Cell lengths 5.0233, 5.0233, 5.0233 Å; angles 90.00, 90.00, 90.00 degrees
Space group Pm-3n (No. 223)
Inequivalent atoms, fractional coordinates:
Mn  0.0000  0.2500  0.5000 [6 per cell]
Zn  0.0000  0.0000  0.0000 [2 per cell]
H  0.0000  0.5000  0.2500 [6 per cell]

Calculated values
Total magnetic moment ... 1.289 μB per atom


(12)
A plane-wave DFT calculation with PBE was carried out for Mn2ZnH4 after structural relaxation.

Cell lengths 7.0106, 7.0208, 8.5603 Å; angles 90.00, 90.00, 90.00 degrees
Space group Fddd (No. 70, origin choice 2)
Inequivalent atoms, fractional coordinates:
Mn  0.0000  0.0000  0.0000 [16 per cell]
Zn  0.1250  0.1250  0.6250 [8 per cell]
H  0.0029  0.0032  0.2099 [32 per cell]

Calculated values
Total magnetic moment ... 0.608 μB per atom


no.,electronic total energy (eV/cell)
1,-82.334
2,-26.236
3,-33.361
4,-11.343
5,-35.364
6,-535.102
7,-26.663
8,-15.029
9,-85.463
10,-62.734
11,-77.098
12,-258.187